1.
# BaTb3Cu

Crystalline BaTb3Cu at its relaxed geometry (GGA-PBE, Alexandria).

Lattice parameters (Å, degrees): 5.5648 5.5648 5.5648 90.00 90.00 90.00
Sites, in units of the cell vectors:
Ba: 0.5000 0.5000 0.5000
Tb: 0.0000 0.5000 0.0000
Tb: 0.5000 0.0000 0.0000
Cu: 0.0000 0.0000 0.0000
Tb: 0.0000 0.0000 0.5000

* symmetry: Pm-3m
* energy: -19.36 eV for the cell shown
* N(E_F): 7.5 states/eV per cell
* energy of formation: 0.111 eV/atom
* calculated volume: 172.3 Å³ per cell


2.
# Mg3Tc2

Crystalline Mg3Tc2 at its relaxed geometry (GGA-PBE, Alexandria).

Lattice parameters (Å, degrees): 11.5537 11.5537 11.5537 166.43 166.43 19.24
Sites, in units of the cell vectors:
Mg: 0.6916 0.6916 0.0000
Tc: 0.0974 0.0974 0.0000
Mg: 0.3084 0.3084 0.0000
Mg: 0.5000 0.5000 0.0000
Tc: 0.9026 0.9026 0.0000

* symmetry: I4/mmm
* energy: -24.19 eV for the cell shown
* N(E_F): 3.2 states/eV per cell
* energy of formation: 0.266 eV/atom
* energy above the most stable polymorph in this dataset: 1.345 eV/f.u.
* calculated volume: 84.9 Å³ per cell


3.
# SiRh2W

Crystalline SiRh2W at its relaxed geometry (GGA-PBE, Alexandria).

Lattice parameters (Å, degrees): 4.7001 4.7001 4.7001 131.72 131.72 70.66
Sites, in units of the cell vectors:
Rh: 0.0000 0.0000 0.0000
Rh: 0.5000 0.5000 0.0000
Si: 0.2500 0.7500 0.5000
W: 0.7500 0.2500 0.5000

* symmetry: I4/mmm
* energy: -34.22 eV for the cell shown
* E_form (uncorrected): -1.14 eV per formula unit
* N(E_F): 2.8 states/eV per cell
* calculated volume: 56.7 Å³ per cell


4.
# CoRu2Au

Crystalline CoRu2Au at its relaxed geometry (GGA-PBE, Alexandria).

Lattice parameters (Å, degrees): 2.7039 3.7782 5.5928 90.00 90.00 90.00
Sites, in units of the cell vectors:
Ru: 0.0000 0.0000 0.9683
Au: 0.5000 0.5000 0.2500
Co: 0.5000 0.5000 0.7500
Ru: 0.0000 0.0000 0.5317

* symmetry: Pmmm
* energy: -27.44 eV for the cell shown
* N(E_F): 5.6 states/eV per cell
* energy of formation: 0.375 eV/atom
* energy above the most stable polymorph in this dataset: 0.505 eV/f.u.
* calculated volume: 57.1 Å³ per cell


5.
# SrTl3In2

Crystalline SrTl3In2 at its relaxed geometry (GGA-PBE, Alexandria).

Lattice parameters (Å, degrees): 6.7065 9.0747 9.0747 43.36 90.00 90.00
Sites, in units of the cell vectors:
In: 0.5000 0.8486 0.8486
Tl: 0.7500 0.7789 0.2211
In: 0.5000 0.1514 0.1514
In: 0.0000 0.1514 0.1514
Sr: 0.7500 0.2802 0.7198
In: 0.0000 0.8486 0.8486
Tl: 0.2500 0.2750 0.3600
Tl: 0.7500 0.7250 0.6400
Sr: 0.2500 0.7198 0.2802
Tl: 0.2500 0.2211 0.7789
Tl: 0.2500 0.6400 0.7250
Tl: 0.7500 0.3600 0.2750

* symmetry: Cmcm
* energy: -29.80 eV for the cell shown
* N(E_F): 6.5 states/eV per cell
* energy of formation: -0.107 eV/atom
* energy above the most stable polymorph in this dataset: 0.289 eV/f.u.
* calculated volume: 379.2 Å³ per cell


What is the N(E_F) in the second record?
3.2 states/eV per cell


What is the N(E_F) in the third record?
2.8 states/eV per cell